This record from the Alexandria database describes a geometry-optimized Sc3TaAl structure. The functional is GGA-PBE.

```
data_Sc3TaAl
_cell_length_a 5.087
_cell_length_b 5.087
_cell_length_c 5.087
_cell_angle_alpha 90.00
_cell_angle_beta 90.00
_cell_angle_gamma 90.00
_symmetry_space_group_name_H-M 'P 1'
_symmetry_Int_Tables_number 1
_symmetry_space_group_name_Hall 'P 1'
loop_
_atom_site_label
_atom_site_type_symbol
_atom_site_fract_x
_atom_site_fract_y
_atom_site_fract_z
Sc1 Sc 0.000 0.500 0.000
Sc2 Sc 0.000 0.000 0.500
Sc3 Sc 0.500 0.000 0.000
Al1 Al 0.500 0.500 0.500
Ta1 Ta 0.000 0.000 0.000
```

Results
The total magnetization comes out at 0.0 μB/f.u. The value obtained for the polymorph energy (0 for the lowest one) is 0.0000 eV/atom. The energy relative to the elements comes out at 3.9 eV per formula unit.